No. 1
This record from the Alexandria database describes ScMnCoSi2 after structural relaxation. The functional is PBE.

Unit cell a=5.661 b=5.661 c=5.661 alpha=141.05 beta=141.05 gamma=56.26
Sites, in units of the cell vectors:
Sc  0.000  0.000  0.000
Mn  0.750  0.250  0.500
Co  0.250  0.750  0.500
Si  0.382  0.382  0.000
Si  0.618  0.618  0.000

E = -7.330 eV/atom
formation energy from raw total energies = -0.639 eV per atom
magnetic moment = 2.416 μB per formula unit
density of states at the Fermi level = 0.894 states/eV/atom
density = 5.019 g/cm³


No. 2
This record from the Alexandria database describes TmScMnCo after structural relaxation. The functional is PBE.

Unit cell a=4.676 b=4.676 c=4.676 alpha=60.00 beta=60.00 gamma=60.00
Sites, in units of the cell vectors:
Tm  0.000  0.000  0.000
Sc  0.500  0.500  0.500
Mn  0.750  0.750  0.750
Co  0.250  0.250  0.250

E = -6.786 eV/atom
magnetic moment = 3.467 μB per formula unit
density of states at the Fermi level = 1.309 states/eV/atom
formation enthalpy at 0 K = -17 meV/atom
density = 7.528 g/cm³


No. 3
This record from the Alexandria database describes Sc2MnCoW after structural relaxation. The functional is PBE.

Unit cell a=4.610 b=4.610 c=4.519 alpha=90.00 beta=90.00 gamma=90.00
Sites, in units of the cell vectors:
Sc  0.000  0.500  0.000
Sc  0.500  0.000  0.000
Mn  0.000  0.000  0.500
Co  0.500  0.500  0.000
W  0.500  0.500  0.500

E = -7.465 eV/atom
magnetic moment = 0.477 μB per formula unit
density of states at the Fermi level = 1.625 states/eV/atom
formation enthalpy at 0 K = 914 meV/atom
density = 6.703 g/cm³


No. 4
This record from the Alexandria database describes Sc2Mn2ZnCo5 after structural relaxation. The functional is PBE.

Unit cell a=8.613 b=8.613 c=3.642 alpha=90.00 beta=90.00 gamma=90.00
Sites, in units of the cell vectors:
Sc  0.180  0.320  0.000
Sc  0.320  0.820  0.000
Sc  0.680  0.180  0.000
Sc  0.820  0.680  0.000
Mn  0.119  0.619  0.000
Mn  0.381  0.119  0.000
Mn  0.619  0.881  0.000
Mn  0.881  0.381  0.000
Zn  0.000  0.000  0.000
Zn  0.500  0.500  0.000
Co  0.000  0.500  0.500
Co  0.060  0.798  0.500
Co  0.202  0.060  0.500
Co  0.298  0.560  0.500
Co  0.440  0.298  0.500
Co  0.500  0.000  0.500
Co  0.560  0.702  0.500
Co  0.702  0.440  0.500
Co  0.798  0.940  0.500
Co  0.940  0.202  0.500

E = -6.803 eV/atom
magnetic moment = 9.403 μB per formula unit
density of states at the Fermi level = 1.021 states/eV/atom
formation enthalpy at 0 K = -22 meV/atom
density = 6.881 g/cm³


No. 5
This record from the Alexandria database describes Mn2CoSe after structural relaxation. The functional is PBE.

Unit cell a=4.118 b=4.118 c=4.118 alpha=60.00 beta=60.00 gamma=60.00
Sites, in units of the cell vectors:
Mn  0.000  0.000  0.000
Mn  0.250  0.250  0.250
Co  0.500  0.500  0.500
Se  0.750  0.750  0.750

E = -7.017 eV/atom
formation energy from raw total energies = 0.215 eV per atom
magnetic moment = 4.698 μB per formula unit
density of states at the Fermi level = 0.494 states/eV/atom
density = 8.334 g/cm³
ΔE to the lowest computed polymorph = 0.48 eV/f.u.


No. 6
This record from the Alexandria database describes Mn2CoSe2 after structural relaxation. The functional is PBE.

Unit cell a=6.678 b=6.678 c=3.518 alpha=90.00 beta=90.00 gamma=90.00
Sites, in units of the cell vectors:
Mn  0.141  0.359  0.000
Mn  0.359  0.859  0.000
Mn  0.641  0.141  0.000
Mn  0.859  0.641  0.000
Co  0.000  0.000  0.500
Co  0.500  0.500  0.500
Se  0.168  0.668  0.500
Se  0.332  0.168  0.500
Se  0.668  0.832  0.500
Se  0.832  0.332  0.500

E = -6.400 eV/atom
formation energy from raw total energies = 0.083 eV per atom
magnetic moment = 8.199 μB per formula unit
density of states at the Fermi level = 0.821 states/eV/atom
density = 6.916 g/cm³
ΔE to the lowest computed polymorph = 0.00 eV/f.u.


No. 7
This record from the Alexandria database describes Mn2CoSe after structural relaxation. The functional is PBE.

Unit cell a=3.188 b=3.188 c=5.551 alpha=90.00 beta=90.00 gamma=90.00
Sites, in units of the cell vectors:
Mn  0.000  0.000  0.241
Mn  0.000  0.000  0.759
Co  0.500  0.500  0.000
Se  0.500  0.500  0.500

E = -7.132 eV/atom
formation energy from raw total energies = 0.101 eV per atom
magnetic moment = 8.650 μB per formula unit
density of states at the Fermi level = 0.861 states/eV/atom
density = 7.295 g/cm³
ΔE to the lowest computed polymorph = 0.03 eV/f.u.


No. 8
This record from the Alexandria database describes MnCoSe after structural relaxation. The functional is PBE.

Unit cell a=3.883 b=3.883 c=3.883 alpha=60.00 beta=60.00 gamma=60.00
Sites, in units of the cell vectors:
Mn  0.000  0.000  0.000
Co  0.500  0.500  0.500
Se  0.250  0.250  0.250

E = -6.435 eV/atom
formation energy from raw total energies = 0.152 eV per atom
magnetic moment = 1.460 μB per formula unit
density of states at the Fermi level = 0.736 states/eV/atom
density = 7.736 g/cm³
ΔE to the lowest computed polymorph = 0.63 eV/f.u.


No. 9
This record from the Alexandria database describes Mn2CoSe after structural relaxation. The functional is PBE.

Unit cell a=4.600 b=4.600 c=4.600 alpha=130.69 beta=130.69 gamma=72.31
Sites, in units of the cell vectors:
Mn  0.250  0.750  0.500
Mn  0.750  0.250  0.500
Co  0.000  0.000  0.000
Se  0.500  0.500  0.000

E = -7.036 eV/atom
formation energy from raw total energies = 0.197 eV per atom
magnetic moment = 8.301 μB per formula unit
density of states at the Fermi level = 0.816 states/eV/atom
density = 7.519 g/cm³
ΔE to the lowest computed polymorph = 0.41 eV/f.u.


No. 10
This record from the Alexandria database describes MnCo2Se after structural relaxation. The functional is PBE.

Unit cell a=7.758 b=7.758 c=7.758 alpha=21.13 beta=21.13 gamma=21.13
Sites, in units of the cell vectors:
Mn  0.000  0.000  0.000
Co  0.249  0.249  0.249
Co  0.751  0.751  0.751
Se  0.500  0.500  0.500

E = -6.417 eV/atom
formation energy from raw total energies = 0.300 eV per atom
magnetic moment = 5.629 μB per formula unit
density of states at the Fermi level = 1.186 states/eV/atom
density = 7.871 g/cm³
ΔE to the lowest computed polymorph = 0.74 eV/f.u.


No. 11
This record from the Alexandria database describes MnCo2Se after structural relaxation. The functional is PBE.

Unit cell a=6.163 b=6.163 c=6.163 alpha=130.44 beta=130.44 gamma=72.70
Sites, in units of the cell vectors:
Mn  0.000  0.000  0.000
Mn  0.750  0.250  0.500
Co  0.103  0.625  0.978
Co  0.375  0.353  0.478
Co  0.647  0.125  0.022
Co  0.875  0.897  0.522
Se  0.250  0.750  0.500
Se  0.500  0.500  0.000

E = -6.026 eV/atom
formation energy from raw total energies = 0.691 eV per atom
magnetic moment = 0.000 μB per formula unit
density of states at the Fermi level = 1.235 states/eV/atom
density = 6.313 g/cm³
ΔE to the lowest computed polymorph = 2.31 eV/f.u.


No. 12
This record from the Alexandria database describes MnCo2Se after structural relaxation. The functional is PBE.

Unit cell a=4.017 b=4.017 c=3.149 alpha=90.00 beta=90.00 gamma=90.00
Sites, in units of the cell vectors:
Mn  0.000  0.000  0.000
Co  0.000  0.500  0.500
Co  0.500  0.000  0.500
Se  0.500  0.500  0.000

E = -6.579 eV/atom
formation energy from raw total energies = 0.138 eV per atom
magnetic moment = 6.012 μB per formula unit
density of states at the Fermi level = 1.101 states/eV/atom
density = 8.225 g/cm³
ΔE to the lowest computed polymorph = 0.10 eV/f.u.


No. 13
This record from the Alexandria database describes MnCoSe after structural relaxation. The functional is PBE.

Unit cell a=4.500 b=4.500 c=4.500 alpha=136.80 beta=136.80 gamma=62.74
Sites, in units of the cell vectors:
Mn  0.000  0.000  0.000
Co  0.350  0.350  0.000
Se  0.667  0.667  0.000

E = -6.440 eV/atom
formation energy from raw total energies = 0.147 eV per atom
magnetic moment = 4.824 μB per formula unit
density of states at the Fermi level = 1.301 states/eV/atom
density = 7.596 g/cm³
ΔE to the lowest computed polymorph = 0.62 eV/f.u.


No. 14
This record from the Alexandria database describes Mn2CoSe after structural relaxation. The functional is PBE.

Unit cell a=4.052 b=4.052 c=2.863 alpha=90.00 beta=90.00 gamma=90.00
Sites, in units of the cell vectors:
Mn  0.000  0.500  0.000
Mn  0.500  0.000  0.000
Co  0.000  0.000  0.500
Se  0.500  0.500  0.500

E = -6.909 eV/atom
formation energy from raw total energies = 0.324 eV per atom
magnetic moment = 1.490 μB per formula unit
density of states at the Fermi level = 1.327 states/eV/atom
density = 8.755 g/cm³
ΔE to the lowest computed polymorph = 0.92 eV/f.u.


No. 15
This record from the Alexandria database describes MnCoSe3 after structural relaxation. The functional is PBE.

Unit cell a=7.869 b=7.869 c=6.545 alpha=94.29 beta=94.29 gamma=89.07
Sites, in units of the cell vectors:
Mn  0.077  0.923  0.750
Mn  0.242  0.758  0.250
Mn  0.758  0.242  0.750
Mn  0.923  0.077  0.250
Co  0.185  0.346  0.959
Co  0.346  0.185  0.459
Co  0.654  0.815  0.541
Co  0.815  0.654  0.041
Se  0.065  0.220  0.621
Se  0.100  0.641  0.910
Se  0.220  0.065  0.121
Se  0.319  0.438  0.281
Se  0.359  0.900  0.590
Se  0.438  0.319  0.781
Se  0.562  0.681  0.219
Se  0.641  0.100  0.410
Se  0.681  0.562  0.719
Se  0.780  0.935  0.879
Se  0.900  0.359  0.090
Se  0.935  0.780  0.379

E = -5.574 eV/atom
formation energy from raw total energies = -0.228 eV per atom
magnetic moment = 4.897 μB per formula unit
density of states at the Fermi level = 0.370 states/eV/atom
density = 5.781 g/cm³
ΔE to the lowest computed polymorph = 0.00 eV/f.u.


No. 16
This record from the Alexandria database describes MnCo4Se8 after structural relaxation. The functional is PBE.

Unit cell a=7.114 b=7.114 c=7.114 alpha=60.00 beta=60.00 gamma=60.00
Sites, in units of the cell vectors:
Mn  0.000  0.000  0.000
Co  0.135  0.622  0.622
Co  0.622  0.135  0.622
Co  0.622  0.622  0.135
Co  0.622  0.622  0.622
Se  0.389  0.389  0.389
Se  0.389  0.389  0.833
Se  0.389  0.833  0.389
Se  0.412  0.863  0.863
Se  0.833  0.389  0.389
Se  0.863  0.412  0.863
Se  0.863  0.863  0.412
Se  0.863  0.863  0.863

E = -5.347 eV/atom
formation energy from raw total energies = -0.311 eV per atom
magnetic moment = 2.959 μB per formula unit
density of states at the Fermi level = 0.309 states/eV/atom
density = 6.017 g/cm³


No. 17
This record from the Alexandria database describes MnCoSe4 after structural relaxation. The functional is PBE.

Unit cell a=5.825 b=5.836 c=5.844 alpha=90.00 beta=90.04 gamma=90.00
Sites, in units of the cell vectors:
Mn  0.000  0.000  0.000
Mn  0.000  0.500  0.500
Co  0.500  0.000  0.500
Co  0.500  0.500  0.000
Se  0.122  0.127  0.628
Se  0.122  0.373  0.128
Se  0.371  0.624  0.623
Se  0.371  0.876  0.123
Se  0.629  0.124  0.877
Se  0.629  0.376  0.377
Se  0.878  0.627  0.872
Se  0.878  0.873  0.372

E = -5.340 eV/atom
formation energy from raw total energies = -0.304 eV per atom
magnetic moment = 0.055 μB per formula unit
density of states at the Fermi level = 0.464 states/eV/atom
density = 7.182 g/cm³


No. 18
This record from the Alexandria database describes Mn2CoSe after structural relaxation. The functional is PBE.

Unit cell a=3.224 b=3.224 c=5.258 alpha=90.00 beta=90.00 gamma=90.00
Sites, in units of the cell vectors:
Mn  0.000  0.000  0.000
Mn  0.500  0.500  0.273
Co  0.500  0.500  0.792
Se  0.000  0.000  0.496

E = -7.050 eV/atom
formation energy from raw total energies = 0.182 eV per atom
magnetic moment = 7.461 μB per formula unit
density of states at the Fermi level = 1.004 states/eV/atom
density = 7.527 g/cm³
ΔE to the lowest computed polymorph = 0.35 eV/f.u.


No. 19
This record from the Alexandria database describes Mn2CoSe after structural relaxation. The functional is PBE.

Unit cell a=4.303 b=4.303 c=3.030 alpha=90.00 beta=90.00 gamma=104.88
Sites, in units of the cell vectors:
Mn  0.000  0.500  0.000
Mn  0.500  0.000  0.000
Co  0.000  0.000  0.500
Se  0.500  0.500  0.500

E = -7.060 eV/atom
formation energy from raw total energies = 0.173 eV per atom
magnetic moment = 7.746 μB per formula unit
density of states at the Fermi level = 1.068 states/eV/atom
density = 7.588 g/cm³
ΔE to the lowest computed polymorph = 0.32 eV/f.u.


No. 20
This record from the Alexandria database describes MnCo2Se after structural relaxation. The functional is PBE.

Unit cell a=3.201 b=3.201 c=5.104 alpha=90.00 beta=90.00 gamma=90.00
Sites, in units of the cell vectors:
Mn  0.000  0.000  0.000
Co  0.000  0.000  0.506
Co  0.500  0.500  0.791
Se  0.500  0.500  0.320

E = -6.527 eV/atom
formation energy from raw total energies = 0.189 eV per atom
magnetic moment = 5.175 μB per formula unit
density of states at the Fermi level = 0.622 states/eV/atom
density = 7.994 g/cm³
ΔE to the lowest computed polymorph = 0.30 eV/f.u.